# Y6Tl3Ag (PBE, relaxed)
data_Y6Tl3Ag
_chemical_formula_sum 'Y12 Tl6 Ag2'
_symmetry_space_group_name_H-M 'P n n m'
_symmetry_Int_Tables_number 58
_cell_length_a 9.136
_cell_length_b 11.985
_cell_length_c 5.266
_cell_angle_alpha 90.00
_cell_angle_beta 90.00
_cell_angle_gamma 90.00
loop_
_symmetry_equiv_pos_as_xyz
'x,y,z'
'-x,-y,-z'
'-x,-y,z'
'x,y,-z'
'x+1/2,-y+1/2,-z+1/2'
'-x+1/2,y+1/2,z+1/2'
'-x+1/2,y+1/2,-z+1/2'
'x+1/2,-y+1/2,z+1/2'
loop_
_atom_site_label
_atom_site_type_symbol
_atom_site_fract_x
_atom_site_fract_y
_atom_site_fract_z
_atom_site_occupancy
Y1 Y 0.004 0.243 0.000 1
Y2 Y 0.165 0.089 0.500 1
Y3 Y 0.170 0.409 0.500 1
Tl1 Tl 0.000 0.500 0.000 1
Tl2 Tl 0.163 0.754 0.500 1
Ag1 Ag 0.000 0.000 0.000 1
# - Offset from the most stable computed form: 2.2 kJ/mol of atoms
# - Energy relative to the elements: -24 kJ per mole of atoms
# - Total DFT energy (no corrections): -102.39 eV per cell
# - Volume: 28.830 Å³ per atom

# YTlAg4 (PBE, relaxed)
data_YTlAg4
_chemical_formula_sum 'Y4 Tl4 Ag16'
_symmetry_space_group_name_H-M 'F -4 3 m'
_symmetry_Int_Tables_number 216
_symmetry_space_group_name_Hall 'F -4 2 3'
_cell_length_a 7.961
_cell_length_b 7.961
_cell_length_c 7.961
_cell_angle_alpha 90.00
_cell_angle_beta 90.00
_cell_angle_gamma 90.00
loop_
_atom_site_label
_atom_site_type_symbol
_atom_site_fract_x
_atom_site_fract_y
_atom_site_fract_z
_atom_site_occupancy
Y1 Y 0.000 0.000 0.000 1
Tl1 Tl 0.250 0.250 0.750 1
Ag1 Ag 0.125 0.125 0.375 1
# - Energy relative to the elements: -16 kJ per mole of atoms
# - Total DFT energy (no corrections): -84.81 eV per cell
# - Volume: 21.021 Å³ per atom

# YTlAg2 (PBE, relaxed)
data_YTlAg2
_chemical_formula_sum 'Y4 Tl4 Ag8'
_symmetry_space_group_name_H-M 'F m -3 m'
_symmetry_Int_Tables_number 225
_symmetry_space_group_name_Hall '-F 4 2 3'
_cell_length_a 7.072
_cell_length_b 7.072
_cell_length_c 7.072
_cell_angle_alpha 90.00
_cell_angle_beta 90.00
_cell_angle_gamma 90.00
loop_
_atom_site_label
_atom_site_type_symbol
_atom_site_fract_x
_atom_site_fract_y
_atom_site_fract_z
_atom_site_occupancy
Y1 Y 0.000 0.000 0.000 1
Tl1 Tl 0.000 0.000 0.500 1
Ag1 Ag 0.250 0.250 0.250 1
# - Offset from the most stable computed form: 0.0 kJ/mol of atoms
# - Energy relative to the elements: -23 kJ per mole of atoms
# - Total DFT energy (no corrections): -61.91 eV per cell
# - Volume: 22.103 Å³ per atom

# Y8TlAg2 (PBE, relaxed)
data_Y8TlAg2
_chemical_formula_sum 'Y16 Tl2 Ag4'
_symmetry_space_group_name_H-M 'C 1 2/m 1'
_symmetry_Int_Tables_number 12
_cell_length_a 16.357
_cell_length_b 5.238
_cell_length_c 8.343
_cell_angle_alpha 90.00
_cell_angle_beta 118.38
_cell_angle_gamma 90.00
loop_
_symmetry_equiv_pos_as_xyz
'x,y,z'
'-x,-y,-z'
'-x,y,-z'
'x,-y,z'
'x+1/2,y+1/2,z'
'-x+1/2,-y+1/2,-z'
'-x+1/2,y+1/2,-z'
'x+1/2,-y+1/2,z'
loop_
_atom_site_label
_atom_site_type_symbol
_atom_site_fract_x
_atom_site_fract_y
_atom_site_fract_z
_atom_site_occupancy
Y1 Y 0.065 0.000 0.225 1
Y2 Y 0.102 0.500 0.961 1
Y3 Y 0.148 0.000 0.706 1
Y4 Y 0.186 0.500 0.466 1
Tl1 Tl 0.000 0.500 0.500 1
Ag1 Ag 0.216 0.000 0.118 1
# - Offset from the most stable computed form: 0.0 kJ/mol of atoms
# - Energy relative to the elements: -16 kJ per mole of atoms
# - Total DFT energy (no corrections): -123.13 eV per cell
# - Volume: 28.590 Å³ per atom

# YTlAg2 (PBE, relaxed)
data_YTlAg2
_chemical_formula_sum 'Y2 Tl2 Ag4'
_symmetry_space_group_name_H-M 'C 1 2/m 1'
_symmetry_Int_Tables_number 12
_cell_length_a 6.208
_cell_length_b 10.359
_cell_length_c 3.336
_cell_angle_alpha 90.00
_cell_angle_beta 117.83
_cell_angle_gamma 90.00
loop_
_symmetry_equiv_pos_as_xyz
'x,y,z'
'-x,-y,-z'
'-x,y,-z'
'x,-y,z'
'x+1/2,y+1/2,z'
'-x+1/2,-y+1/2,-z'
'-x+1/2,y+1/2,-z'
'x+1/2,-y+1/2,z'
loop_
_atom_site_label
_atom_site_type_symbol
_atom_site_fract_x
_atom_site_fract_y
_atom_site_fract_z
_atom_site_occupancy
Y1 Y 0.000 0.000 0.000 1
Tl1 Tl 0.000 0.500 0.000 1
Ag1 Ag 0.250 0.250 0.500 1
# - Offset from the most stable computed form: 24.0 kJ/mol of atoms
# - Energy relative to the elements: 1 kJ per mole of atoms
# - Total DFT energy (no corrections): -28.97 eV per cell
# - Volume: 23.716 Å³ per atom

# YTl2Ag (PBE, relaxed)
data_YTl2Ag
_chemical_formula_sum 'Y2 Tl4 Ag2'
_symmetry_space_group_name_H-M 'I -4 m 2'
_symmetry_Int_Tables_number 119
_symmetry_space_group_name_Hall 'I -4 -2'
_cell_length_a 4.618
_cell_length_b 4.618
_cell_length_c 9.413
_cell_angle_alpha 90.00
_cell_angle_beta 90.00
_cell_angle_gamma 90.00
loop_
_atom_site_label
_atom_site_type_symbol
_atom_site_fract_x
_atom_site_fract_y
_atom_site_fract_z
_atom_site_occupancy
Y1 Y 0.000 0.000 0.000 1
Tl1 Tl 0.000 0.000 0.500 1
Tl2 Tl 0.000 0.500 0.750 1
Ag1 Ag 0.000 0.500 0.250 1
# - Energy relative to the elements: -15 kJ per mole of atoms
# - Total DFT energy (no corrections): -29.32 eV per cell
# - Volume: 25.090 Å³ per atom

# YTlAg2 (PBE, relaxed)
data_YTlAg2
_chemical_formula_sum 'Y3 Tl3 Ag6'
_symmetry_space_group_name_H-M 'R 3 m'
_symmetry_Int_Tables_number 160
_symmetry_space_group_name_Hall 'R 3 -2"'
_cell_length_a 3.5073
_cell_length_b 3.5073
_cell_length_c 27.5340
_cell_angle_alpha 90.00
_cell_angle_beta 90.00
_cell_angle_gamma 120.00
loop_
_atom_site_label
_atom_site_type_symbol
_atom_site_fract_x
_atom_site_fract_y
_atom_site_fract_z
_atom_site_occupancy
Y1 Y 0.0000 0.0000 0.0000 1
Tl1 Tl 0.0000 0.0000 0.2371 1
Ag1 Ag 0.0000 0.0000 0.4903 1
Ag2 Ag 0.0000 0.0000 0.7499 1
# - Offset from the most stable computed form: 26.4 kJ/mol of atoms
# - Energy relative to the elements: 4 kJ per mole of atoms
# - Total DFT energy (no corrections): -43.15 eV per cell
# - Volume: 24.443 Å³ per atom

# YTlAg2 (PBE, relaxed)
data_YTlAg2
_chemical_formula_sum 'Y1 Tl1 Ag2'
_symmetry_space_group_name_H-M 'P 4 m m'
_symmetry_Int_Tables_number 99
_cell_length_a 3.639
_cell_length_b 3.639
_cell_length_c 6.915
_cell_angle_alpha 90.00
_cell_angle_beta 90.00
_cell_angle_gamma 90.00
loop_
_symmetry_equiv_pos_as_xyz
'x,y,z'
'-y,x,z'
'-x,-y,z'
'y,-x,z'
'-x,y,z'
'y,x,z'
'x,-y,z'
'-y,-x,z'
loop_
_atom_site_label
_atom_site_type_symbol
_atom_site_fract_x
_atom_site_fract_y
_atom_site_fract_z
_atom_site_occupancy
Y1 Y 0.000 0.000 0.000 1
Tl1 Tl 0.500 0.500 0.705 1
Ag1 Ag 0.000 0.000 0.465 1
Ag2 Ag 0.500 0.500 0.254 1
# - Offset from the most stable computed form: 12.1 kJ/mol of atoms
# - Energy relative to the elements: -11 kJ per mole of atoms
# - Total DFT energy (no corrections): -14.98 eV per cell
# - Volume: 22.887 Å³ per atom

# Y2TlAg (PBE, relaxed)
data_Y2TlAg
_chemical_formula_sum 'Y8 Tl4 Ag4'
_symmetry_space_group_name_H-M 'F -4 3 m'
_symmetry_Int_Tables_number 216
_symmetry_space_group_name_Hall 'F -4 2 3'
_cell_length_a 7.442
_cell_length_b 7.442
_cell_length_c 7.442
_cell_angle_alpha 90.00
_cell_angle_beta 90.00
_cell_angle_gamma 90.00
loop_
_atom_site_label
_atom_site_type_symbol
_atom_site_fract_x
_atom_site_fract_y
_atom_site_fract_z
_atom_site_occupancy
Y1 Y 0.000 0.000 0.000 1
Y2 Y 0.250 0.250 0.250 1
Tl1 Tl 0.250 0.250 0.750 1
Ag1 Ag 0.000 0.000 0.500 1
# - Offset from the most stable computed form: 41.8 kJ/mol of atoms
# - Energy relative to the elements: 6 kJ per mole of atoms
# - Total DFT energy (no corrections): -71.58 eV per cell
# - Volume: 25.759 Å³ per atom

# Y2TlAg (PBE, relaxed)
data_Y2TlAg
_chemical_formula_sum 'Y4 Tl2 Ag2'
_symmetry_space_group_name_H-M 'I -4 m 2'
_symmetry_Int_Tables_number 119
_symmetry_space_group_name_Hall 'I -4 -2'
_cell_length_a 4.456
_cell_length_b 4.456
_cell_length_c 10.434
_cell_angle_alpha 90.00
_cell_angle_beta 90.00
_cell_angle_gamma 90.00
loop_
_atom_site_label
_atom_site_type_symbol
_atom_site_fract_x
_atom_site_fract_y
_atom_site_fract_z
_atom_site_occupancy
Y1 Y 0.000 0.000 0.000 1
Y2 Y 0.000 0.500 0.250 1
Tl1 Tl 0.000 0.000 0.500 1
Ag1 Ag 0.000 0.500 0.750 1
# - Offset from the most stable computed form: 16.0 kJ/mol of atoms
# - Energy relative to the elements: -20 kJ per mole of atoms
# - Total DFT energy (no corrections): -37.93 eV per cell
# - Volume: 25.897 Å³ per atom

# YTlAg3 (PBE, relaxed)
data_YTlAg3
_chemical_formula_sum 'Y4 Tl4 Ag12'
_symmetry_space_group_name_H-M 'C m m m'
_symmetry_Int_Tables_number 65
_symmetry_space_group_name_Hall '-C 2 2'
_cell_length_a 4.723
_cell_length_b 28.578
_cell_length_c 3.407
_cell_angle_alpha 90.00
_cell_angle_beta 90.00
_cell_angle_gamma 90.00
loop_
_atom_site_label
_atom_site_type_symbol
_atom_site_fract_x
_atom_site_fract_y
_atom_site_fract_z
_atom_site_occupancy
Y1 Y 0.000 0.179 0.000 1
Tl1 Tl 0.000 0.375 0.500 1
Ag1 Ag 0.000 0.053 0.500 1
Ag2 Ag 0.000 0.274 0.500 1
Ag3 Ag 0.000 0.454 0.000 1
# - Offset from the most stable computed form: 0.0 kJ/mol of atoms
# - Energy relative to the elements: -1 kJ per mole of atoms
# - Total DFT energy (no corrections): -69.70 eV per cell
# - Volume: 22.993 Å³ per atom

# Y4TlAg2 (PBE, relaxed)
data_Y4TlAg2
_chemical_formula_sum 'Y12 Tl3 Ag6'
_symmetry_space_group_name_H-M 'R -3 m'
_symmetry_Int_Tables_number 166
_symmetry_space_group_name_Hall '-R 3 2"'
_cell_length_a 5.1787
_cell_length_b 5.1787
_cell_length_c 24.8176
_cell_angle_alpha 90.00
_cell_angle_beta 90.00
_cell_angle_gamma 120.00
loop_
_atom_site_label
_atom_site_type_symbol
_atom_site_fract_x
_atom_site_fract_y
_atom_site_fract_z
_atom_site_occupancy
Y1 Y 0.0000 0.0000 0.1159 1
Y2 Y 0.0000 0.0000 0.3696 1
Tl1 Tl 0.0000 0.0000 0.5000 1
Ag1 Ag 0.0000 0.0000 0.2467 1
# - Offset from the most stable computed form: 0.0 kJ/mol of atoms
# - Energy relative to the elements: -18 kJ per mole of atoms
# - Total DFT energy (no corrections): -105.75 eV per cell
# - Volume: 27.448 Å³ per atom